No. 1
# BaIr2PbO8 (PBE-GGA, relaxed)
data_BaIr2PbO8
_chemical_formula_sum 'Ba1 Ir2 Pb1 O8'
_space_group_name_H-M_alt 'P -3'
_space_group_IT_number 147
_cell_length_a 6.0147
_cell_length_b 6.0147
_cell_length_c 8.1180
_cell_angle_alpha 90.00
_cell_angle_beta 90.00
_cell_angle_gamma 120.00
loop_
_space_group_symop_operation_xyz
'x,y,z'
'-x,-y,-z'
'-y,x-y,z'
'y,-x+y,-z'
'-x+y,-x,z'
'x-y,x,-z'
loop_
_atom_site_label
_atom_site_fract_x
_atom_site_fract_y
_atom_site_fract_z
Ba1 0.0000 0.0000 0.0000
Ir1 0.3333 0.6667 0.7814
Pb1 0.0000 0.0000 0.5000
O1 0.1529 0.3263 0.7239
O2 0.3333 0.6667 0.0067
# Calculated density = 5.60 Mg/m³
# Electronic total energy = -73.68 eV per cell
# Energy relative to the elements, uncorrected = -0.888 eV per atom
# Size of the total moment = 2.07 μB/cell

***

No. 2
# GaCoTcRh (PBE-GGA, relaxed)
data_GaCoTcRh
_chemical_formula_sum 'Ga4 Co4 Tc4 Rh4'
_space_group_name_H-M_alt 'F -4 3 m'
_space_group_IT_number 216
_space_group_name_Hall 'F -4 2 3'
_cell_length_a 6.060
_cell_length_b 6.060
_cell_length_c 6.060
_cell_angle_alpha 90.00
_cell_angle_beta 90.00
_cell_angle_gamma 90.00
loop_
_atom_site_label
_atom_site_fract_x
_atom_site_fract_y
_atom_site_fract_z
Ga1 0.000 0.000 0.000
Co1 0.250 0.250 0.250
Tc1 0.000 0.000 0.500
Rh1 0.250 0.250 0.750
# Calculated formation energy = -26 meV/atom
# Calculated density = 9.84 Mg/m³
# Electronic total energy = -111.82 eV per cell
# Size of the total moment = 15.97 μB/cell

***

No. 3
# KAlIn2Tc (PBE-GGA, relaxed)
data_KAlIn2Tc
_chemical_formula_sum 'K1 Al1 In2 Tc1'
_space_group_name_H-M_alt 'P 4/m m m'
_space_group_IT_number 123
_space_group_name_Hall '-P 4 2'
_cell_length_a 5.284
_cell_length_b 5.284
_cell_length_c 4.891
_cell_angle_alpha 90.00
_cell_angle_beta 90.00
_cell_angle_gamma 90.00
loop_
_atom_site_label
_atom_site_fract_x
_atom_site_fract_y
_atom_site_fract_z
K1 0.000 0.000 0.000
Al1 0.500 0.500 0.000
In1 0.000 0.500 0.500
Tc1 0.500 0.500 0.500
# Calculated formation energy = -2 meV/atom
# Calculated density = 4.79 Mg/m³
# Electronic total energy = -20.69 eV per cell
# Size of the total moment = 0.00 μB/cell

***

No. 4
# CsTlSnO3 (PBE-GGA, relaxed)
data_CsTlSnO3
_chemical_formula_sum 'Cs4 Tl4 Sn4 O12'
_space_group_name_H-M_alt 'C 1 2/c 1'
_space_group_IT_number 15
_cell_length_a 7.252
_cell_length_b 13.930
_cell_length_c 5.686
_cell_angle_alpha 90.00
_cell_angle_beta 102.14
_cell_angle_gamma 90.00
loop_
_space_group_symop_operation_xyz
'x,y,z'
'-x,-y,-z'
'-x,y,-z+1/2'
'x,-y,z+1/2'
'x+1/2,y+1/2,z'
'-x+1/2,-y+1/2,-z'
'-x+1/2,y+1/2,-z+1/2'
'x+1/2,-y+1/2,z+1/2'
loop_
_atom_site_label
_atom_site_fract_x
_atom_site_fract_y
_atom_site_fract_z
Cs1 0.000 0.102 0.250
Tl1 0.000 0.295 0.750
Sn1 0.000 0.449 0.250
O1 0.000 0.308 0.250
O2 0.170 0.460 0.982
# Calculated density = 5.96 Mg/m³
# Electronic total energy = -119.50 eV per cell
# Energy relative to the elements, uncorrected = -1.296 eV per atom
# Size of the total moment = 0.00 μB/cell

***

No. 5
# NbGeTePO (PBE-GGA, relaxed)
data_NbGeTePO
_chemical_formula_sum 'Nb1 Ge1 Te1 P1 O1'
_space_group_name_H-M_alt 'P 1'
_space_group_IT_number 1
_cell_length_a 3.570
_cell_length_b 3.941
_cell_length_c 7.955
_cell_angle_alpha 75.91
_cell_angle_beta 84.48
_cell_angle_gamma 89.86
loop_
_space_group_symop_operation_xyz
'x,y,z'
loop_
_atom_site_label
_atom_site_fract_x
_atom_site_fract_y
_atom_site_fract_z
Nb1 0.000 0.000 0.000
Ge1 0.875 0.766 0.449
Te1 0.564 0.138 0.710
P1 0.439 0.878 0.242
O1 0.004 0.503 0.987
# Energy above the most stable polymorph in this dataset = 0.0649 eV per atom
# Calculated density = 5.23 Mg/m³
# Electronic total energy = -31.44 eV per cell
# Energy relative to the elements, uncorrected = -0.649 eV per atom
# Size of the total moment = 0.00 μB/cell

***

No. 6
# LaPm2MgIn4 (PBE-GGA, relaxed)
data_LaPm2MgIn4
_chemical_formula_sum 'La3 Pm6 Mg3 In12'
_space_group_name_H-M_alt 'R -3 m'
_space_group_IT_number 166
_space_group_name_Hall '-R 3 2"'
_cell_length_a 5.3371
_cell_length_b 5.3371
_cell_length_c 27.3629
_cell_angle_alpha 90.00
_cell_angle_beta 90.00
_cell_angle_gamma 120.00
loop_
_atom_site_label
_atom_site_fract_x
_atom_site_fract_y
_atom_site_fract_z
La1 0.0000 0.0000 0.0000
Pm1 0.0000 0.0000 0.2426
Mg1 0.0000 0.0000 0.5000
In1 0.0000 0.0000 0.1251
In2 0.0000 0.0000 0.3779
# Calculated formation energy = -404 meV/atom
# Calculated density = 6.73 Mg/m³
# Electronic total energy = -90.64 eV per cell
# Size of the total moment = 0.00 μB/cell